No. 1
VASP calculation (PBE-GGA) on BaCaI4 after structural relaxation.

a b c (Å): 8.017 8.381 8.306
angles (deg): 90.00 101.28 90.00
Space group P2/c (No. 13)
One atom of each set of equivalent atoms:
1 Ba 0.000 0.229 0.250 x2
2 Ca 0.500 0.336 0.750 x2
3 I 0.252 0.069 0.601 x4
4 I 0.253 0.437 0.991 x4

Results
Raw formation energy   -1.675 eV/atom
Mass density   4.2 g/cm3
Total energy   -3.3630 eV per atom

---

No. 2
VASP calculation (PBE-GGA) on Ba3Ca5I12 after structural relaxation.

a b c (Å): 19.450 19.450 19.450
angles (deg): 90.00 90.00 90.00
Space group Ia-3d (No. 230)
One atom of each set of equivalent atoms:
1 Ba 0.000 0.250 0.125 x24
2 Ca 0.000 0.000 0.000 x16
3 Ca 0.000 0.250 0.375 x24
4 I 0.027 0.065 0.648 x96

Results
Raw formation energy   -1.312 eV/atom
Mass density   3.9 g/cm3
Total energy   -3.0312 eV per atom

---

No. 3
VASP calculation (PBE-GGA) on BaCaI4 after structural relaxation.

a b c (Å): 8.127 8.127 16.979
angles (deg): 90.00 90.00 90.00
Space group I4_1/a (No. 88, origin choice 2)
One atom of each set of equivalent atoms:
1 Ba 0.000 0.250 0.125 x4
2 Ca 0.000 0.250 0.625 x4
3 I 0.192 0.493 0.280 x16

Results
Raw formation energy   -1.640 eV/atom
Mass density   4.1 g/cm3
Total energy   -3.3271 eV per atom

---

No. 4
VASP calculation (PBE-GGA) on BaCaI4 after structural relaxation.

a b c (Å): 8.609 8.325 17.484
angles (deg): 90.00 108.12 90.00
Space group P2_1/c (No. 14)
One atom of each set of equivalent atoms:
1 Ba 0.221 0.033 0.162 x4
2 Ca 0.317 0.165 0.910 x4
3 I 0.041 0.240 0.981 x4
4 I 0.052 0.136 0.743 x4
5 I 0.450 0.679 0.411 x4
6 I 0.456 0.668 0.167 x4

Results
Raw formation energy   -1.637 eV/atom
Mass density   3.8 g/cm3
Total energy   -3.3241 eV per atom

---

No. 5
VASP calculation (PBE-GGA) on BaCa2I6 after structural relaxation.

a b c (Å): 8.0796 8.0796 7.5189
angles (deg): 90.00 90.00 120.00
Space group P-31m (No. 162)
One atom of each set of equivalent atoms:
1 Ba 0.0000 0.0000 0.0000 x1
2 Ca 0.3333 0.6667 0.5000 x2
3 I 0.0000 0.3581 0.2620 x6

Results
Raw formation energy   -1.647 eV/atom
Mass density   3.8 g/cm3
Total energy   -3.3390 eV per atom

---

No. 6
VASP calculation (PBE-GGA) on BaCa2I2 after structural relaxation.

a b c (Å): 5.615 5.615 14.150
angles (deg): 90.00 90.00 90.00
Space group I4/mmm (No. 139)
One atom of each set of equivalent atoms:
1 Ba 0.000 0.000 0.000 x2
2 Ca 0.000 0.000 0.373 x4
3 I 0.000 0.500 0.250 x4

Results
Raw formation energy   -0.764 eV/atom
Mass density   3.5 g/cm3
Total energy   -2.5688 eV per atom

---

No. 7
VASP calculation (PBE-GGA) on BaCaI4 after structural relaxation.

a b c (Å): 6.153 22.456 8.190
angles (deg): 90.00 90.00 90.00
Space group Cmc2_1 (No. 36)
One atom of each set of equivalent atoms:
1 Ba 0.000 0.177 0.000 x4
2 Ca 0.000 0.412 0.908 x4
3 I 0.000 0.102 0.383 x4
4 I 0.000 0.290 0.701 x4
5 I 0.000 0.326 0.214 x4
6 I 0.000 0.461 0.548 x4

Results
Raw formation energy   -1.629 eV/atom
Mass density   4.0 g/cm3
Total energy   -3.3161 eV per atom

---

No. 8
VASP calculation (PBE-GGA) on BaCaI4 after structural relaxation.

a b c (Å): 5.7755 5.7755 27.4985
angles (deg): 90.00 90.00 120.00
Space group R-3m (No. 166, hexagonal axes)
One atom of each set of equivalent atoms:
1 Ba 0.0000 0.0000 0.0000 x3
2 Ca 0.0000 0.0000 0.5000 x3
3 I 0.0000 0.0000 0.1312 x6
4 I 0.0000 0.0000 0.3807 x6

Results
Raw formation energy   -1.612 eV/atom
Mass density   4.3 g/cm3
Total energy   -3.2990 eV per atom

---

Here are the calculated magnetization numbers, same order: 0.0, 0.0, 0.0, 0.0, 0.0, 0.0, 0.0, 0.0 (Bohr magnetons per cell).